Compound: CrP3I
Source: Alexandria
Functional: SCAN
Structure: single point on PBEsol structure

Unit cell a=4.474 b=4.474 c=4.474 alpha=90.00 beta=90.00 gamma=90.00
Atoms (fractional coordinates):
Cr 0.000 0.000 0.000
P 0.000 0.000 0.500
P 0.000 0.500 0.000
P 0.500 0.000 0.000
I 0.500 0.500 0.500

VASP energy = -83.6 eV for the cell shown
Volume = 17.9 A^3/atom
Symmetry = Pm-3m (221)
Total magnetic moment = 0.00 Bohr magnetons per cell
Formation energy without anion corrections = 546 meV/atom


Compound: Tc2PRu
Source: Alexandria
Functional: SCAN
Structure: single point on PBEsol structure

Unit cell a=2.839 b=4.262 c=8.594 alpha=90.00 beta=90.00 gamma=90.00
Atoms (fractional coordinates):
Tc 0.000 0.000 0.000
Tc 0.000 0.500 0.218
Tc 0.500 0.000 0.718
Tc 0.500 0.500 0.500
P 0.000 0.000 0.498
P 0.500 0.500 0.998
Ru 0.000 0.500 0.784
Ru 0.500 0.000 0.284

VASP energy = -233.0 eV for the cell shown
ΔH_f (0 K) = -0.285 eV per atom
Volume = 13.0 A^3/atom
Symmetry = Imm2 (44)
Total magnetic moment = 0.00 Bohr magnetons per cell


Compound: NiP2PbCl
Source: Alexandria
Functional: SCAN
Structure: single point on PBEsol structure

Unit cell a=5.134 b=5.134 c=5.193 alpha=90.00 beta=90.00 gamma=90.00
Atoms (fractional coordinates):
Ni 0.000 0.000 0.000
P 0.000 0.500 0.500
P 0.500 0.000 0.500
Pb 0.500 0.500 0.500
Cl 0.500 0.500 0.000

VASP energy = -113.7 eV for the cell shown
Volume = 27.4 A^3/atom
Symmetry = P4/mmm (123)
Total magnetic moment = 2.33 Bohr magnetons per cell
Formation energy without anion corrections = 1400 meV/atom


Compound: La3Tl
Source: Alexandria
Functional: SCAN
Structure: single point on PBEsol structure

Unit cell a=3.647 b=4.665 c=7.237 alpha=90.00 beta=90.00 gamma=90.00
Atoms (fractional coordinates):
La 0.000 0.000 0.000
La 0.500 0.500 0.273
La 0.500 0.500 0.727
Tl 0.000 0.000 0.500

VASP energy = -203.0 eV for the cell shown
ΔH_f (0 K) = -0.331 eV per atom
Volume = 30.8 A^3/atom
Symmetry = Pmmm (47)
Total magnetic moment = 0.48 Bohr magnetons per cell
Excess energy over the best structure of this formula in the dataset = 55 meV per atom